Record 1
# BaYCl4, relaxed, DFT PBE
# Uncorrected formation energy, kJ/mol of atoms: -73.2
data_BaYCl4
_space_group_name_H-M_alt 'P 1'
_space_group_IT_number 1
_cell_length_a 6.117
_cell_length_b 6.117
_cell_length_c 6.117
_cell_angle_alpha 60.00
_cell_angle_beta 60.00
_cell_angle_gamma 60.00
loop_
_space_group_symop_operation_xyz
'x,y,z'
loop_
_atom_site_label
_atom_site_type_symbol
_atom_site_fract_x
_atom_site_fract_y
_atom_site_fract_z
Cl1 Cl 0.874 0.375 0.375
Y1 Y 0.750 0.750 0.750
Ba1 Ba 0.000 0.000 0.000
Cl2 Cl 0.375 0.375 0.874
Cl3 Cl 0.375 0.375 0.375
Cl4 Cl 0.375 0.874 0.375

***

Record 2
# Sr2Ga4Sn2Pt, relaxed, DFT PBE
# Calculated formation energy, eV per atom: -0.493
data_Sr2Ga4Sn2Pt
_space_group_name_H-M_alt 'P 1'
_space_group_IT_number 1
_cell_length_a 6.716
_cell_length_b 6.716
_cell_length_c 6.716
_cell_angle_alpha 89.40
_cell_angle_beta 120.34
_cell_angle_gamma 120.34
loop_
_space_group_symop_operation_xyz
'x,y,z'
loop_
_atom_site_label
_atom_site_type_symbol
_atom_site_fract_x
_atom_site_fract_y
_atom_site_fract_z
Sr1 Sr 0.500 0.250 0.750
Pt1 Pt 0.000 0.000 0.000
Sn1 Sn 0.000 0.290 0.290
Ga1 Ga 0.000 0.277 0.723
Sr2 Sr 0.500 0.750 0.250
Sn2 Sn 0.000 0.710 0.710
Ga2 Ga 0.447 0.723 0.723
Ga3 Ga 0.553 0.277 0.277
Ga4 Ga 0.000 0.723 0.277

***

Record 3
# Na4TbTl15, relaxed, DFT PBE
# Calculated formation energy, eV per atom: -0.091
data_Na4TbTl15
_space_group_name_H-M_alt 'P 1'
_space_group_IT_number 1
_cell_length_a 4.811
_cell_length_b 4.811
_cell_length_c 24.704
_cell_angle_alpha 90.00
_cell_angle_beta 90.00
_cell_angle_gamma 90.00
loop_
_space_group_symop_operation_xyz
'x,y,z'
loop_
_atom_site_label
_atom_site_type_symbol
_atom_site_fract_x
_atom_site_fract_y
_atom_site_fract_z
Tl1 Tl 0.500 0.500 0.400
Tl2 Tl 0.000 0.500 0.500
Na1 Na 0.000 0.000 0.805
Tl3 Tl 0.500 0.000 0.500
Tl4 Tl 0.000 0.500 0.097
Tl5 Tl 0.500 0.500 0.805
Tl6 Tl 0.500 0.500 0.600
Tb1 Tb 0.000 0.000 0.000
Tl7 Tl 0.500 0.000 0.097
Na2 Na 0.000 0.000 0.400
Tl8 Tl 0.000 0.500 0.903
Na3 Na 0.000 0.000 0.600
Tl9 Tl 0.500 0.000 0.903
Tl10 Tl 0.500 0.500 0.000
Tl11 Tl 0.500 0.500 0.195
Tl12 Tl 0.500 0.000 0.299
Tl13 Tl 0.500 0.000 0.701
Na4 Na 0.000 0.000 0.195
Tl14 Tl 0.000 0.500 0.701
Tl15 Tl 0.000 0.500 0.299

***

Record 4
# ZnP2I2, relaxed, DFT PBE
# Uncorrected formation energy, kJ/mol of atoms: 37.6
# Energy above the most stable polymorph in this dataset, meV/atom: 179.2
data_ZnP2I2
_space_group_name_H-M_alt 'P 1'
_space_group_IT_number 1
_cell_length_a 3.475
_cell_length_b 3.475
_cell_length_c 12.463
_cell_angle_alpha 81.98
_cell_angle_beta 81.98
_cell_angle_gamma 90.00
loop_
_space_group_symop_operation_xyz
'x,y,z'
loop_
_atom_site_label
_atom_site_type_symbol
_atom_site_fract_x
_atom_site_fract_y
_atom_site_fract_z
Zn1 Zn 0.000 0.000 0.000
I1 I 0.574 0.574 0.852
P1 P 0.750 0.250 0.500
P2 P 0.250 0.750 0.500
I2 I 0.426 0.426 0.148

***

Record 5
# U2Si4TcNi3, relaxed, DFT PBE
# Uncorrected formation energy, kJ/mol of atoms: -54.1
data_U2Si4TcNi3
_space_group_name_H-M_alt 'P 1'
_space_group_IT_number 1
_cell_length_a 4.028
_cell_length_b 4.028
_cell_length_c 9.401
_cell_angle_alpha 90.00
_cell_angle_beta 90.00
_cell_angle_gamma 90.00
loop_
_space_group_symop_operation_xyz
'x,y,z'
loop_
_atom_site_label
_atom_site_type_symbol
_atom_site_fract_x
_atom_site_fract_y
_atom_site_fract_z
U1 U 0.000 0.500 0.752
Ni1 Ni 0.000 0.500 0.118
Si1 Si 0.000 0.500 0.360
U2 U 0.500 0.000 0.248
Tc1 Tc 0.500 0.500 0.500
Si2 Si 0.500 0.000 0.640
Ni2 Ni 0.500 0.000 0.882
Si3 Si 0.000 0.000 0.000
Ni3 Ni 0.000 0.000 0.500
Si4 Si 0.500 0.500 0.000

***

Record 6
# SbPt2Br, relaxed, DFT PBE
# Uncorrected formation energy, kJ/mol of atoms: 6.1
# Energy above the most stable polymorph in this dataset, meV/atom: 203.4
data_SbPt2Br
_space_group_name_H-M_alt 'P 1'
_space_group_IT_number 1
_cell_length_a 3.475
_cell_length_b 3.475
_cell_length_c 7.570
_cell_angle_alpha 90.00
_cell_angle_beta 90.00
_cell_angle_gamma 90.00
loop_
_space_group_symop_operation_xyz
'x,y,z'
loop_
_atom_site_label
_atom_site_type_symbol
_atom_site_fract_x
_atom_site_fract_y
_atom_site_fract_z
Pt1 Pt 0.000 0.000 0.041
Br1 Br 0.500 0.500 0.830
Pt2 Pt 0.500 0.500 0.227
Sb1 Sb 0.000 0.000 0.401

***

Record 7
# PmBr2F, relaxed, DFT PBE
# Uncorrected formation energy, kJ/mol of atoms: -255.3
# Energy above the most stable polymorph in this dataset, meV/atom: 0.0
data_PmBr2F
_space_group_name_H-M_alt 'P 1'
_space_group_IT_number 1
_cell_length_a 4.118
_cell_length_b 4.118
_cell_length_c 8.048
_cell_angle_alpha 75.90
_cell_angle_beta 75.90
_cell_angle_gamma 59.99
loop_
_space_group_symop_operation_xyz
'x,y,z'
loop_
_atom_site_label
_atom_site_type_symbol
_atom_site_fract_x
_atom_site_fract_y
_atom_site_fract_z
Br1 Br 0.205 0.205 0.372
Br2 Br 0.045 0.045 0.878
Pm1 Pm 0.458 0.458 0.625
F1 F 0.792 0.792 0.625

***

Record 8
# CuRh5, relaxed, DFT PBE
# Calculated formation energy, eV per atom: 0.075
# Energy above the most stable polymorph in this dataset, meV/atom: 34.1
data_CuRh5
_space_group_name_H-M_alt 'P 1'
_space_group_IT_number 1
_cell_length_a 2.732
_cell_length_b 7.143
_cell_length_c 4.386
_cell_angle_alpha 90.00
_cell_angle_beta 90.00
_cell_angle_gamma 78.97
loop_
_space_group_symop_operation_xyz
'x,y,z'
loop_
_atom_site_label
_atom_site_type_symbol
_atom_site_fract_x
_atom_site_fract_y
_atom_site_fract_z
Cu1 Cu 0.000 0.000 0.000
Rh1 Rh 0.221 0.558 0.500
Rh2 Rh 0.554 0.891 0.500
Rh3 Rh 0.891 0.218 0.500
Rh4 Rh 0.335 0.330 0.000
Rh5 Rh 0.665 0.670 0.000

***

Record 9
# Pm5In2Pb4, relaxed, DFT PBE
# Calculated formation energy, eV per atom: -0.252
data_Pm5In2Pb4
_space_group_name_H-M_alt 'P 1'
_space_group_IT_number 1
_cell_length_a 4.716
_cell_length_b 9.805
_cell_length_c 11.883
_cell_angle_alpha 136.90
_cell_angle_beta 101.44
_cell_angle_gamma 90.00
loop_
_space_group_symop_operation_xyz
'x,y,z'
loop_
_atom_site_label
_atom_site_type_symbol
_atom_site_fract_x
_atom_site_fract_y
_atom_site_fract_z
Pb1 Pb 0.262 0.261 0.525
In1 In 0.531 0.405 0.062
Pm1 Pm 0.500 0.000 0.000
Pb2 Pb 0.738 0.739 0.475
Pm2 Pm 0.856 0.238 0.711
In2 In 0.469 0.595 0.938
Pb3 Pb 0.949 0.118 0.898
Pm3 Pm 0.837 0.596 0.673
Pm4 Pm 0.163 0.404 0.327
Pb4 Pb 0.051 0.882 0.102
Pm5 Pm 0.144 0.762 0.289

***

Record 10
# MnNbReCl2, relaxed, DFT PBE
# Uncorrected formation energy, kJ/mol of atoms: 108.7
data_MnNbReCl2
_space_group_name_H-M_alt 'P 1'
_space_group_IT_number 1
_cell_length_a 4.342
_cell_length_b 5.695
_cell_length_c 4.342
_cell_angle_alpha 90.00
_cell_angle_beta 90.00
_cell_angle_gamma 90.00
loop_
_space_group_symop_operation_xyz
'x,y,z'
loop_
_atom_site_label
_atom_site_type_symbol
_atom_site_fract_x
_atom_site_fract_y
_atom_site_fract_z
Re1 Re 0.500 0.500 0.500
Mn1 Mn 0.000 0.000 0.000
Nb1 Nb 0.000 0.500 0.000
Cl1 Cl 0.000 0.000 0.500
Cl2 Cl 0.500 0.000 0.000

***

Q: Which formula does entry 7 have?
A: PmBr2F